No. 1
Compound: LaPAu2
Source: Alexandria
Functional: PBE
Structure: optimized geometry

The structure in extended XYZ format:
```
4
Lattice="-2.4847 2.4847 3.5072 2.4847 -2.4847 3.5072 2.4847 2.4847 -3.5072" Properties=species:S:1:pos:R:3 pbc="T T T"
La 0.0000 0.0000 0.0000
P 2.4847 0.0000 1.7536
Au 0.0000 0.0000 3.5072
Au 0.0000 2.4847 1.7536
```

**Calculated volume**: 21.7 Å³/atom
**Crystal system**: tetragonal
**Formation energy**: -2.18 eV/f.u.
**Calculated total energy**: -4.77 eV per atom


No. 2
Compound: In2PbCl8
Source: Alexandria
Functional: PBE
Structure: optimized geometry

The structure in extended XYZ format:
```
11
Lattice="6.8350 -4.3873 0.0000 6.8350 4.3873 0.0000 -1.2644 0.0000 6.6983" Properties=species:S:1:pos:R:3 pbc="T T T"
In 2.5658 0.0000 1.1287
In 9.8397 0.0000 5.5695
Pb -0.6322 0.0000 3.3491
Cl 4.4619 2.5702 4.8726
Cl 1.4466 0.0000 5.3879
Cl 7.9436 2.5702 1.8257
Cl 4.7578 0.0000 1.8935
Cl 7.6476 0.0000 4.8048
Cl 4.4619 -2.5702 4.8726
Cl 10.9589 0.0000 1.3104
Cl 7.9436 -2.5702 1.8257
```

**Calculated volume**: 36.5 Å³/atom
**Crystal system**: monoclinic
**E_form (uncorrected)**: -11.75 eV/f.u.
**Calculated total energy**: -3.25 eV per atom


No. 3
Compound: Sm2Y2Er15
Source: Alexandria
Functional: PBE
Structure: optimized geometry

The structure in extended XYZ format:
```
19
Lattice="5.5805 3.2219 5.8032 -5.5805 3.2219 5.8032 0.0000 -6.4438 5.8032" Properties=species:S:1:pos:R:3 pbc="T T T"
Sm 0.0000 0.0000 3.0153
Sm 0.0000 0.0000 14.3943
Y 0.0000 0.0000 6.9561
Y 0.0000 0.0000 10.4535
Er -2.7902 -1.6109 5.8032
Er 0.0000 -3.3199 5.3123
Er -2.8752 1.6600 5.3123
Er -1.6716 -2.8954 8.7048
Er -3.3433 0.0000 8.7048
Er -2.8752 -1.6600 12.0972
Er -2.7902 1.6109 11.6064
Er 1.6716 -2.8954 8.7048
Er 0.0000 3.2219 5.8032
Er -1.6716 2.8954 8.7048
Er 2.8752 1.6600 5.3124
Er 3.3433 0.0000 8.7048
Er 1.6716 2.8954 8.7048
Er 2.8751 -1.6600 12.0972
Er 0.0000 3.3199 12.0972
```

**Calculated volume**: 32.9 Å³/atom
**Crystal system**: trigonal
**Formation energy**: 5.37 eV/f.u.
**Calculated total energy**: -4.50 eV per atom


No. 4
Compound: AlSi2Tc
Source: Alexandria
Functional: PBE
Structure: optimized geometry

The structure in extended XYZ format:
```
4
Lattice="3.2412 0.0000 0.0000 0.0000 3.2412 0.0000 0.0000 0.0000 5.2922" Properties=species:S:1:pos:R:3 pbc="T T T"
Al 0.0000 0.0000 0.0000
Si 1.6206 1.6206 1.3393
Si 1.6206 1.6206 3.9528
Tc 0.0000 0.0000 2.6461
```

**Calculated volume**: 13.9 Å³/atom
**Crystal system**: tetragonal
**E_form (uncorrected)**: -0.42 eV/f.u.
**Calculated total energy**: -6.34 eV per atom